# 1
DFT (PBE) results for crystalline Cu2IrCl at its relaxed geometry.

Unit cell a=3.878 b=2.842 c=5.831 alpha=104.31 beta=90.00 gamma=90.00
Atoms (fractional coordinates):
1 Ir 0.000 0.651 0.431
2 Cu 0.000 0.954 0.023
3 Cu 0.500 0.076 0.287
4 Cl 0.500 0.819 0.759

Computed properties:
Formation energy (no corrections) = 0.436 eV/atom
Crystal system = monoclinic
E above lowest polymorph = 0.222 eV per atom
Uncorrected energy = -4.289 eV per atom



# 2
DFT (PBE) results for crystalline Cu2IrCl at its relaxed geometry.

Unit cell a=6.391 b=6.391 c=6.391 alpha=154.45 beta=142.66 gamma=45.79
Atoms (fractional coordinates):
1 Ir 0.484 0.484 0.000
2 Cu 0.038 0.038 0.000
3 Cu 0.664 0.164 0.500
4 Cl 0.314 0.814 0.500

Computed properties:
Formation energy (no corrections) = 0.361 eV/atom
Crystal system = orthorhombic
E above lowest polymorph = 0.147 eV per atom
Uncorrected energy = -4.364 eV per atom



# 3
DFT (PBE) results for crystalline CuIrCl2 at its relaxed geometry.

Unit cell a=3.573 b=4.673 c=6.242 alpha=126.26 beta=90.00 gamma=90.00
Atoms (fractional coordinates):
1 Ir 0.500 0.750 0.750
2 Cu 0.500 0.250 0.250
3 Cl 0.000 0.682 0.958
4 Cl 0.000 0.818 0.542

Computed properties:
Formation energy (no corrections) = 0.278 eV/atom
Crystal system = monoclinic
E above lowest polymorph = 0.245 eV per atom
Uncorrected energy = -3.884 eV per atom